Entry 1:
! Mg2MnW | Alexandria via LeMat-Bulk | PBE | relaxed; values from VASP
! Offset from the most stable computed form   6.671 kcal/mol of atoms
! Volume   64.87 Å³ per cell
! Symmetry   I4/mmm, No. 139
&SYSTEM
  ibrav = 0, nat = 4, ntyp = 3
/
ATOMIC_SPECIES
Mg 24.30 Mg.upf
Mn 54.94 Mn.upf
W 183.84 W.upf
CELL_PARAMETERS angstrom
-1.890 1.890 4.540
1.890 -1.890 4.540
1.890 1.890 -4.540
ATOMIC_POSITIONS angstrom
Mg 1.890 0.000 2.270
Mg 0.000 1.890 2.270
Mn 0.000 0.000 0.000
W 0.000 0.000 4.540

Entry 2:
! Mg4MnW | Alexandria via LeMat-Bulk | PBE | relaxed; values from VASP
! Volume   114.13 Å³ per cell
! Symmetry   F-43m, No. 216
! E_tot   -4.02 eV/atom
&SYSTEM
  ibrav = 0, nat = 6, ntyp = 3
/
ATOMIC_SPECIES
Mg 24.30 Mg.upf
Mn 54.94 Mn.upf
W 183.84 W.upf
CELL_PARAMETERS angstrom
0.000 3.850 3.850
3.850 0.000 3.850
3.850 3.850 0.000
ATOMIC_POSITIONS angstrom
Mg 0.966 0.966 0.966
Mg 2.884 2.884 0.966
Mg 2.884 0.966 2.884
Mg 0.966 2.884 2.884
Mn 5.775 5.775 5.775
W 3.850 3.850 3.850

Entry 3:
! MgMn2W | Alexandria via LeMat-Bulk | PBE | relaxed; values from VASP
! Volume   57.27 Å³ per cell
! Symmetry   Pm, No. 6
! E_tot   -7.86 eV/atom
&SYSTEM
  ibrav = 0, nat = 4, ntyp = 3
/
ATOMIC_SPECIES
Mg 24.30 Mg.upf
Mn 54.94 Mn.upf
W 183.84 W.upf
CELL_PARAMETERS angstrom
2.663 0.000 0.000
0.000 4.341 0.000
-0.902 0.000 4.953
ATOMIC_POSITIONS angstrom
Mg 0.000 0.000 0.000
Mn 0.894 0.000 2.449
Mn 1.768 2.171 1.134
W 0.087 2.171 3.500

Entry 4:
! MgMnW | Alexandria via LeMat-Bulk | PBE | relaxed; values from VASP
! Offset from the most stable computed form   1.167 kcal/mol of atoms
! Volume   47.20 Å³ per cell
! Symmetry   Fmm2, No. 42
&SYSTEM
  ibrav = 0, nat = 3, ntyp = 3
/
ATOMIC_SPECIES
Mg 24.30 Mg.upf
Mn 54.94 Mn.upf
W 183.84 W.upf
CELL_PARAMETERS angstrom
0.000 2.233 6.627
1.595 0.000 6.627
1.595 2.233 0.000
ATOMIC_POSITIONS angstrom
Mg 0.000 0.000 0.000
Mn 1.595 2.233 4.371
W 1.595 2.233 9.082

Entry 5:
! Mg2MnW | Alexandria via LeMat-Bulk | PBE | relaxed; values from VASP
! Offset from the most stable computed form   1.618 kcal/mol of atoms
! Volume   68.75 Å³ per cell
! Symmetry   Cmm2, No. 35
&SYSTEM
  ibrav = 0, nat = 4, ntyp = 3
/
ATOMIC_SPECIES
Mg 24.30 Mg.upf
Mn 54.94 Mn.upf
W 183.84 W.upf
CELL_PARAMETERS angstrom
1.667 -2.275 0.000
1.667 2.275 0.000
0.000 0.000 9.065
ATOMIC_POSITIONS angstrom
Mg 0.000 0.000 0.000
Mg 1.667 0.000 2.653
Mn 0.000 0.000 4.848
W 1.667 0.000 6.700

Entry 6:
! MgMnW2 | Alexandria via LeMat-Bulk | PBE | relaxed; values from VASP
! Volume   62.29 Å³ per cell
! Symmetry   P4mm, No. 99
! E_tot   -8.78 eV/atom
&SYSTEM
  ibrav = 0, nat = 4, ntyp = 3
/
ATOMIC_SPECIES
Mg 24.30 Mg.upf
Mn 54.94 Mn.upf
W 183.84 W.upf
CELL_PARAMETERS angstrom
2.985 0.000 0.000
0.000 2.985 0.000
0.000 0.000 6.990
ATOMIC_POSITIONS angstrom
Mg 0.000 0.000 0.000
Mn 1.493 1.493 1.783
W 0.000 0.000 3.053
W 1.493 1.493 4.943

Entry 7:
! Mg2MnW | Alexandria via LeMat-Bulk | PBE | relaxed; values from VASP
! Offset from the most stable computed form   6.271 kcal/mol of atoms
! Volume   64.54 Å³ per cell
! Symmetry   P4/mmm, No. 123
&SYSTEM
  ibrav = 0, nat = 4, ntyp = 3
/
ATOMIC_SPECIES
Mg 24.30 Mg.upf
Mn 54.94 Mn.upf
W 183.84 W.upf
CELL_PARAMETERS angstrom
3.774 0.000 0.000
0.000 3.774 0.000
0.000 0.000 4.531
ATOMIC_POSITIONS angstrom
Mg 0.000 1.887 0.000
Mg 1.887 0.000 0.000
Mn 0.000 0.000 2.265
W 1.887 1.887 2.265

Entry 8:
! MgMn2W | Alexandria via LeMat-Bulk | PBE | relaxed; values from VASP
! Volume   57.32 Å³ per cell
! Symmetry   F-43m, No. 216
! E_tot   -7.74 eV/atom
&SYSTEM
  ibrav = 0, nat = 4, ntyp = 3
/
ATOMIC_SPECIES
Mg 24.30 Mg.upf
Mn 54.94 Mn.upf
W 183.84 W.upf
CELL_PARAMETERS angstrom
0.000 3.060 3.060
3.060 0.000 3.060
3.060 3.060 0.000
ATOMIC_POSITIONS angstrom
Mg 0.000 0.000 0.000
Mn 3.060 3.060 3.060
Mn 4.590 4.590 4.590
W 1.530 1.530 1.530

Entry 9:
! Mg6MnW | Alexandria via LeMat-Bulk | PBE | relaxed; values from VASP
! Offset from the most stable computed form   0.000 kcal/mol of atoms
! Volume   153.21 Å³ per cell
! Symmetry   Amm2, No. 38
&SYSTEM
  ibrav = 0, nat = 8, ntyp = 3
/
ATOMIC_SPECIES
Mg 24.30 Mg.upf
Mn 54.94 Mn.upf
W 183.84 W.upf
CELL_PARAMETERS angstrom
4.736 0.000 0.000
0.000 2.964 5.458
0.000 -2.964 5.458
ATOMIC_POSITIONS angstrom
Mg 0.000 0.000 0.000
Mg 0.000 -1.413 2.757
Mg 0.000 1.413 2.757
Mg 2.368 -1.449 6.511
Mg 2.368 1.449 6.511
Mg 2.368 0.000 9.206
Mn 0.000 0.000 5.209
W 2.368 0.000 3.981

Entry 10:
! MgMnW2 | Alexandria via LeMat-Bulk | PBE | relaxed; values from VASP
! Volume   62.92 Å³ per cell
! Symmetry   I4/mmm, No. 139
! E_tot   -8.75 eV/atom
&SYSTEM
  ibrav = 0, nat = 4, ntyp = 3
/
ATOMIC_SPECIES
Mg 24.30 Mg.upf
Mn 54.94 Mn.upf
W 183.84 W.upf
CELL_PARAMETERS angstrom
-1.886 1.886 4.424
1.886 -1.886 4.424
1.886 1.886 -4.424
ATOMIC_POSITIONS angstrom
Mg 0.000 0.000 0.000
Mn 0.000 0.000 4.424
W 1.886 0.000 2.212
W 0.000 1.886 2.212

Entry 11:
! MgMnW | Alexandria via LeMat-Bulk | PBE | relaxed; values from VASP
! Offset from the most stable computed form   4.015 kcal/mol of atoms
! Volume   45.82 Å³ per cell
! Symmetry   Imm2, No. 44
&SYSTEM
  ibrav = 0, nat = 3, ntyp = 3
/
ATOMIC_SPECIES
Mg 24.30 Mg.upf
Mn 54.94 Mn.upf
W 183.84 W.upf
CELL_PARAMETERS angstrom
-1.338 2.136 4.008
1.338 -2.136 4.008
1.338 2.136 -4.008
ATOMIC_POSITIONS angstrom
Mg 0.000 0.000 0.000
Mn 0.000 0.000 5.318
W 0.000 0.000 2.678

Entry 12:
! MgMn3W | Alexandria via LeMat-Bulk | PBE | relaxed; values from VASP
! Offset from the most stable computed form   0.000 kcal/mol of atoms
! Volume   99.33 Å³ per cell
! Symmetry   Pm-3m, No. 221
&SYSTEM
  ibrav = 0, nat = 5, ntyp = 3
/
ATOMIC_SPECIES
Mg 24.30 Mg.upf
Mn 54.94 Mn.upf
W 183.84 W.upf
CELL_PARAMETERS angstrom
4.631 0.000 0.000
0.000 4.631 0.000
0.000 0.000 4.631
ATOMIC_POSITIONS angstrom
Mg 0.000 0.000 0.000
Mn 0.000 2.316 2.316
Mn 2.316 0.000 2.316
Mn 2.316 2.316 0.000
W 2.316 2.316 2.316

Entry 13:
! Y2MgMn | Alexandria via LeMat-Bulk | PBE | relaxed; values from VASP
! Volume   194.28 Å³ per cell
! Symmetry   I-42d, No. 122
! E_tot   -5.34 eV/atom
&SYSTEM
  ibrav = 0, nat = 8, ntyp = 3
/
ATOMIC_SPECIES
Y 88.91 Y.upf
Mg 24.30 Mg.upf
Mn 54.94 Mn.upf
CELL_PARAMETERS angstrom
-3.956 3.956 3.103
3.956 -3.956 3.103
3.956 3.956 -3.103
ATOMIC_POSITIONS angstrom
Y 5.935 1.550 -0.776
Y 1.550 1.978 0.776
Y -1.978 2.406 2.327
Y 2.406 1.978 3.879
Mg 3.956 0.000 1.551
Mg 0.000 0.000 3.103
Mn 0.000 0.000 0.000
Mn 0.000 3.956 1.551

Entry 14:
! Y2MgMn | Alexandria via LeMat-Bulk | PBE | relaxed; values from VASP
! Volume   104.15 Å³ per cell
! Symmetry   R-3m, No. 166
! E_tot   -5.69 eV/atom
&SYSTEM
  ibrav = 0, nat = 4, ntyp = 3
/
ATOMIC_SPECIES
Y 88.91 Y.upf
Mg 24.30 Mg.upf
Mn 54.94 Mn.upf
CELL_PARAMETERS angstrom
1.725 0.996 10.101
-1.725 0.996 10.101
0.000 -1.992 10.101
ATOMIC_POSITIONS angstrom
Y 0.000 0.000 7.308
Y 0.000 0.000 22.994
Mg 0.000 0.000 0.000
Mn 0.000 0.000 15.151

Entry 15:
! YMg2Mn | Alexandria via LeMat-Bulk | PBE | relaxed; values from VASP
! Volume   91.69 Å³ per cell
! Symmetry   Pmmm, No. 47
! E_tot   -4.55 eV/atom
&SYSTEM
  ibrav = 0, nat = 4, ntyp = 3
/
ATOMIC_SPECIES
Y 88.91 Y.upf
Mg 24.30 Mg.upf
Mn 54.94 Mn.upf
CELL_PARAMETERS angstrom
4.327 0.000 0.000
0.000 4.430 0.000
0.000 0.000 4.783
ATOMIC_POSITIONS angstrom
Y 0.000 0.000 0.000
Mg 0.000 2.215 2.392
Mg 2.163 0.000 2.392
Mn 2.163 2.215 0.000